This record from Alexandria via LeMat-Bulk describes a relaxed structure of Ti3BiIr. The functional is PBE.

It has space group Pm-3m (No. 221), with a = 4.804 Å, b = 4.804 Å, c = 4.804 Å, α = 90.00°, β = 90.00° and γ = 90.00°. Symmetry generates all atoms from Ti at (0.000, 0.000, 0.500), Bi at (0.500, 0.500, 0.500) and Ir at (0.000, 0.000, 0.000).

The relative energy among the computed polymorphs is 0 meV per atom. For the theoretical density, the calculation gives 8.16 Mg/m³.

***

This record from Alexandria via LeMat-Bulk describes a relaxed structure of Ti6BiIr. The functional is PBE.

It has space group P-1 (No. 2), with a = 5.151 Å, b = 5.152 Å, c = 5.154 Å, α = 89.98°, β = 89.92° and γ = 89.97°. Symmetry generates all atoms from Ti at (0.000, 0.000, 0.235), Ti at (0.235, 0.500, 0.500), Ti at (0.500, 0.265, 0.000), Bi at (0.500, 0.000, 0.500) and Ir at (0.000, 0.500, 0.000).

For the theoretical density, the calculation gives 8.36 Mg/m³.

***

| no. | E_form (kJ/mol of atoms) |
| --- | --- |
| 1 | 3.3 |
| 2 | -31.3 |